{"formula": "GaAs", "functional": "GGA-PBE", "state": "relaxed", "spacegroup": "P4/m, No. 83", "ef_ev_per_atom": -0.133, "mass_density_g_cm3": 4.0, "total_energy_ev_per_atom": -3.971, "lattice": [[10.908, 0.000, 0.000], [0.000, 10.908, 0.000], [0.000, 0.000, 4.062]], "species": ["Ga", "Ga", "Ga", "Ga", "Ga", "Ga", "Ga", "Ga", "As", "As", "As", "As", "As", "As", "As", "As"], "fractional_positions": [[0.781, 0.641, 0.500], [0.219, 0.359, 0.500], [0.359, 0.781, 0.500], [0.641, 0.219, 0.500], [0.896, 0.425, 0.000], [0.104, 0.575, 0.000], [0.575, 0.896, 0.000], [0.425, 0.104, 0.000], [0.769, 0.409, 0.500], [0.231, 0.591, 0.500], [0.591, 0.769, 0.500], [0.409, 0.231, 0.500], [0.905, 0.686, 0.000], [0.095, 0.314, 0.000], [0.314, 0.905, 0.000], [0.686, 0.095, 0.000]]}